1.
The following is a DFT calculation (PBE) of a relaxed Sr8Tl2Ge crystal.

Offset from the most stable computed form, eV/atom: 0.096
Total magnetization, μB per atom: 0.020
Space-group type: Immm (71)
E_form, eV/atom: -0.190

Lattice parameters (Å, degrees): 5.660 9.233 9.884 117.85 106.64 90.00
Fractional positions:
Sr1 0.862 0.862 0.724
Sr2 0.658 0.434 0.317
Tl1 0.188 0.688 0.376
Ge1 0.500 0.000 0.000
Sr3 0.000 0.686 0.000
Sr4 0.342 0.117 0.683
Sr5 0.000 0.314 0.000
Sr6 0.658 0.883 0.317
Sr7 0.138 0.138 0.276
Sr8 0.342 0.566 0.683
Tl2 0.812 0.312 0.624

---

2.
The following is a DFT calculation (PBE) of a relaxed Ba2ScCo crystal.

Offset from the most stable computed form, eV/atom: 0.069
Total magnetization, μB per atom: 0.102
Space-group type: C2/m (12)
E_form, eV/atom: 0.263

Lattice parameters (Å, degrees): 9.770 9.765 3.473 79.76 79.76 24.48
Fractional positions:
Ba1 0.601 0.600 0.400
Ba2 0.899 0.900 0.100
Co1 0.750 0.750 0.750
Sc1 0.250 0.250 0.250

---

3.
The following is a DFT calculation (PBE) of a relaxed MgAlSe crystal.

Offset from the most stable computed form, eV/atom: 0.138
Total magnetization, μB per atom: 0.000
Space-group type: P-6m2 (187)
Formation energy (no corrections), eV per atom: -0.357

Lattice parameters (Å, degrees): 3.604 3.605 11.262 90.00 90.00 119.99
Fractional positions:
Se1 0.778 0.556 0.352
Se2 0.778 0.556 0.648
Al1 0.444 0.888 0.000
Mg1 0.111 0.222 0.186
Mg2 0.111 0.222 0.814
Al2 0.445 0.890 0.500

---

4.
The following is a DFT calculation (PBE) of a relaxed Mg4CdIn10 crystal.

Total magnetization, μB per atom: 0.000
Space-group type: I4/m (87)
E_form, eV/atom: 0.047

Lattice parameters (Å, degrees): 7.708 8.272 8.272 77.46 62.23 62.23
Fractional positions:
In1 0.976 0.117 0.332
Mg1 0.733 0.695 0.839
In2 0.308 0.668 0.117
In3 0.093 0.332 0.883
Cd1 0.000 0.000 0.000
In4 0.575 0.117 0.332
In5 0.692 0.332 0.883
Mg2 0.572 0.161 0.695
In6 0.250 0.500 0.500
In7 0.024 0.883 0.668
In8 0.425 0.883 0.668
Mg3 0.267 0.305 0.161
In9 0.750 0.500 0.500
In10 0.907 0.668 0.117
Mg4 0.428 0.839 0.305

---

5.
The following is a DFT calculation (PBE) of a relaxed Ba2Rh2Au crystal.

Total magnetization, μB per atom: 0.000
Space-group type: P4/mbm (127)
E_form, eV/atom: -0.181

Lattice parameters (Å, degrees): 7.398 7.398 4.712 90.00 90.00 90.00
Fractional positions:
Rh1 0.626 0.126 0.000
Ba1 0.681 0.819 0.500
Rh2 0.374 0.874 0.000
Ba2 0.319 0.181 0.500
Au1 0.000 0.000 0.000
Rh3 0.126 0.374 0.000
Ba3 0.819 0.319 0.500
Rh4 0.874 0.626 0.000
Au2 0.500 0.500 0.000
Ba4 0.181 0.681 0.500

---

6.
The following is a DFT calculation (PBE) of a relaxed MgRh3C crystal.

Total magnetization, μB per atom: 0.000
Space-group type: P6_3/mmc (194)
E_form, eV/atom: 0.303

Lattice parameters (Å, degrees): 3.434 3.434 15.002 90.00 90.00 120.00
Fractional positions:
Mg1 0.000 0.000 0.000
C1 0.333 0.667 0.750
Rh1 0.667 0.333 0.382
Rh2 0.333 0.667 0.618
Rh3 0.000 0.000 0.250
Rh4 0.000 0.000 0.750
Mg2 0.000 0.000 0.500
C2 0.667 0.333 0.250
Rh5 0.333 0.667 0.882
Rh6 0.667 0.333 0.118

---

7.
The following is a DFT calculation (PBE) of a relaxed Pr6In5Bi crystal.

Total magnetization, μB per atom: 0.000
Space-group type: Cmmm (65)
E_form, eV/atom: -0.523

Lattice parameters (Å, degrees): 10.294 5.181 8.210 71.61 80.87 59.81
Fractional positions:
Pr1 0.251 0.249 0.000
In1 0.000 0.675 0.650
In2 0.500 0.166 0.668
In3 0.500 0.500 0.000
Pr2 0.747 0.420 0.667
Pr3 0.747 0.087 0.333
Bi1 0.000 0.000 0.000
In4 0.000 0.325 0.350
Pr4 0.253 0.913 0.667
Pr5 0.749 0.751 0.000
In5 0.500 0.834 0.332
Pr6 0.253 0.580 0.333

---

8.
The following is a DFT calculation (PBE) of a relaxed SrRhPb2O6 crystal.

Total magnetization, μB per atom: 0.000
Space-group type: P2_1/c (14)
Formation energy (no corrections), eV per atom: -1.282

Lattice parameters (Å, degrees): 5.702 6.174 8.404 90.00 89.47 90.00
Fractional positions:
O1 0.699 0.341 0.976
O2 0.199 0.159 0.476
Pb1 0.006 0.969 0.279
Pb2 0.494 0.469 0.221
O3 0.831 0.750 0.893
O4 0.669 0.250 0.607
O5 0.624 0.108 0.289
O6 0.301 0.659 0.024
O7 0.876 0.608 0.211
Sr1 0.000 0.500 0.500
Rh1 0.000 0.500 0.000
Sr2 0.500 0.000 0.000
O8 0.124 0.392 0.789
Rh2 0.500 0.000 0.500
Pb3 0.506 0.531 0.779
O9 0.801 0.841 0.524
Pb4 0.994 0.031 0.721
O10 0.169 0.250 0.107
O11 0.331 0.750 0.393
O12 0.376 0.892 0.711

---

9.
The following is a DFT calculation (PBE) of a relaxed SrSbPd2Pb2 crystal.

Total magnetization, μB per atom: 0.000
Space-group type: P4/mmm (123)
Formation energy (no corrections), eV per atom: -0.299

Lattice parameters (Å, degrees): 5.128 5.128 6.516 90.00 90.00 90.00
Fractional positions:
Pd1 0.500 0.000 0.000
Sr1 0.000 0.000 0.500
Sb1 0.000 0.000 0.000
Pb1 0.500 0.500 0.256
Pd2 0.000 0.500 0.000
Pb2 0.500 0.500 0.744

---

10.
The following is a DFT calculation (PBE) of a relaxed LiHo4Th3Se8 crystal.

Total magnetization, μB per atom: 0.000
Space-group type: R-3m (166)
Formation energy (no corrections), eV per atom: -1.626

Lattice parameters (Å, degrees): 8.191 8.243 8.191 119.79 120.00 90.00
Fractional positions:
Se1 0.236 0.244 0.990
Se2 0.756 0.767 0.511
Se3 0.246 0.756 0.491
Se4 0.246 0.756 0.010
Th1 0.500 0.500 0.000
Se5 0.764 0.756 0.010
Se6 0.754 0.244 0.990
Ho1 0.000 0.000 0.000
Se7 0.244 0.233 0.489
Ho2 0.000 0.000 0.500
Ho3 0.500 0.000 0.500
Se8 0.754 0.244 0.509
Th2 0.500 0.500 0.500
Li1 0.000 0.500 0.000
Ho4 0.500 0.000 0.000
Th3 0.000 0.500 0.500

---

11.
The following is a DFT calculation (PBE) of a relaxed MgBi crystal.

Total magnetization, μB per atom: 0.000
Space-group type: Cm (8)
E_form, eV/atom: -0.063

Lattice parameters (Å, degrees): 6.741 6.741 8.882 61.97 61.97 28.77
Fractional positions:
Bi1 0.640 0.640 0.600
Mg1 0.603 0.603 0.292
Bi2 0.315 0.315 0.970
Mg2 0.343 0.343 0.323
Bi3 0.048 0.048 0.032
Mg3 0.884 0.884 0.615

---

12.
The following is a DFT calculation (PBE) of a relaxed Tb3Y5Ho2 crystal.

Offset from the most stable computed form, eV/atom: 0.000
Total magnetization, μB per atom: 0.000
Space-group type: C2/c (15)
E_form, eV/atom: 0.193

Lattice parameters (Å, degrees): 9.406 9.404 11.087 124.93 124.93 69.51
Fractional positions:
Tb1 0.980 0.228 0.756
Y1 0.522 0.272 0.543
Y2 0.278 0.528 0.055
Ho1 0.222 0.974 0.243
Tb2 0.020 0.772 0.244
Tb3 0.276 0.528 0.756
Y3 0.021 0.771 0.542
Y4 0.385 0.133 0.766
Ho2 0.480 0.732 0.757
Y5 0.979 0.229 0.458
Ho3 0.778 0.026 0.757
Y6 0.118 0.367 0.234
Tb4 0.778 0.028 0.056
Y7 0.722 0.472 0.945
Tb5 0.222 0.972 0.944
Tb6 0.724 0.472 0.244
Y8 0.478 0.728 0.457
Y9 0.882 0.633 0.766
Y10 0.615 0.867 0.234
Ho4 0.520 0.268 0.243

---

> Which of these has the highest total magnetization?

Ba2ScCo